Here is an optimized crystal structure of ThScTiN3 from Alexandria. Energies are from PBE.

Computed properties:
N(E_F): 0.5036 states/eV/atom
formation energy without anion corrections: -1.404 eV per atom

Cell lengths 6.847, 3.285, 8.059 Å; angles 90.00, 99.18, 90.00 degrees
Space group P2_1/m (No. 11)
Unique sites:
Th1 0.167 0.250 0.194 (multiplicity 2)
Sc1 0.355 0.750 0.878 (multiplicity 2)
Ti1 0.133 0.250 0.592 (multiplicity 2)
N1 0.125 0.250 0.856 (multiplicity 2)
N2 0.173 0.750 0.453 (multiplicity 2)
N3 0.423 0.750 0.142 (multiplicity 2)



Here is an optimized crystal structure of ScAgW from Alexandria. Energies are from PBE.

Computed properties:
N(E_F): 1.2686 states/eV/atom
DFT formation energy: 1080 meV per atom
relative energy among the computed polymorphs: 0.8411 eV/atom

Cell lengths 6.335, 6.335, 6.335 Å; angles 90.00, 90.00, 90.00 degrees
Space group F-43m (No. 216)
Unique sites:
Sc1 0.000 0.000 0.000 (multiplicity 4)
Ag1 0.250 0.250 0.750 (multiplicity 4)
W1 0.000 0.000 0.500 (multiplicity 4)



Here is an optimized crystal structure of AcCo2GeC from Alexandria. Energies are from PBE.

Computed properties:
N(E_F): 0.6359 states/eV/atom
DFT formation energy: -252 meV per atom

Cell lengths 4.158, 11.031, 6.969 Å; angles 90.00, 90.00, 90.00 degrees
Space group Cmcm (No. 63)
Unique sites:
Ac1 0.000 0.061 0.250 (multiplicity 4)
Co1 0.000 0.344 0.059 (multiplicity 8)
Ge1 0.000 0.223 0.750 (multiplicity 4)
C1 0.000 0.500 0.000 (multiplicity 4)



Here is an optimized crystal structure of In3Ga2Bi from Alexandria. Energies are from PBE.

Computed properties:
N(E_F): 0.3213 states/eV/atom
DFT formation energy: 60 meV per atom

Cell lengths 6.966, 6.966, 6.966 Å; angles 90.00, 90.00, 90.00 degrees
Space group Pn-3m (No. 224, origin choice 2)
Unique sites:
In1 0.250 0.250 0.750 (multiplicity 6)
Ga1 0.000 0.000 0.000 (multiplicity 4)
Bi1 0.250 0.250 0.250 (multiplicity 2)



Here is an optimized crystal structure of PmEr8Th2 from Alexandria. Energies are from PBE.

Computed properties:
N(E_F): 1.4229 states/eV/atom
DFT formation energy: 94 meV per atom
relative energy among the computed polymorphs: 0.0000 eV/atom

Cell lengths 5.980, 8.398, 8.462 Å; angles 103.89, 109.63, 108.84 degrees
Space group P-1 (No. 2)
Unique sites:
Pm1 0.000 0.000 0.000 (multiplicity 1)
Er1 0.231 0.643 0.734 (multiplicity 2)
Er2 0.258 0.461 0.090 (multiplicity 2)
Er3 0.299 0.275 0.460 (multiplicity 2)
Er4 0.380 0.092 0.796 (multiplicity 2)
Th1 0.168 0.810 0.363 (multiplicity 2)



Here is an optimized crystal structure of YGe2Pt7Pb2 from Alexandria. Energies are from PBE.

Computed properties:
N(E_F): 0.3293 states/eV/atom
DFT formation energy: -534 meV per atom

Cell lengths 5.668, 5.669, 15.902 Å; angles 90.00, 100.15, 90.00 degrees
Space group C2/m (No. 12)
Unique sites:
Y1 0.000 0.000 0.000 (multiplicity 2)
Ge1 0.116 0.500 0.235 (multiplicity 4)
Pt1 0.000 0.500 0.000 (multiplicity 2)
Pt2 0.181 0.250 0.860 (multiplicity 8)
Pt3 0.196 0.500 0.391 (multiplicity 4)
Pb1 0.211 0.000 0.422 (multiplicity 4)